Entry 1:
Below is Al2Tc2Ge after structural relaxation, with properties calculated at the PBE level.

Results
For the total energy, the calculation gives -65.41 eV per cell. The value obtained for the density of states at the Fermi level is 6.89 states/eV/cell. The space group is No. 127. The value obtained for the energy above the most stable polymorph in this dataset is 305 meV per atom. The total magnetic moment is 0.0 μB per formula unit.

Lattice parameters (Å, degrees): 6.7602 6.7602 3.2809 90.00 90.00 90.00
Fractional coordinates of all 10 atoms:
Al 0.1315 0.3685 0.0000
Al 0.3685 0.8685 0.0000
Al 0.6315 0.1315 0.0000
Al 0.8685 0.6315 0.0000
Tc 0.1672 0.6672 0.5000
Tc 0.3328 0.1672 0.5000
Tc 0.6672 0.8328 0.5000
Tc 0.8328 0.3328 0.5000
Ge 0.0000 0.0000 0.0000
Ge 0.5000 0.5000 0.0000

Entry 2:
Below is AcThZnIr after structural relaxation, with properties calculated at the PBE level.

Results
For the total energy, the calculation gives -92.14 eV per cell. The value obtained for the density of states at the Fermi level is 15.87 states/eV/cell. The space group is No. 216. The total magnetic moment is 0.0 μB per formula unit.

Lattice parameters (Å, degrees): 7.4001 7.4001 7.4001 90.00 90.00 90.00
Fractional coordinates of all 16 atoms:
Ac 0.0000 0.0000 0.0000
Ac 0.0000 0.5000 0.5000
Ac 0.5000 0.0000 0.5000
Ac 0.5000 0.5000 0.0000
Th 0.0000 0.0000 0.5000
Th 0.0000 0.5000 0.0000
Th 0.5000 0.0000 0.0000
Th 0.5000 0.5000 0.5000
Zn 0.2500 0.2500 0.7500
Zn 0.2500 0.7500 0.2500
Zn 0.7500 0.2500 0.2500
Zn 0.7500 0.7500 0.7500
Ir 0.2500 0.2500 0.2500
Ir 0.2500 0.7500 0.7500
Ir 0.7500 0.2500 0.7500
Ir 0.7500 0.7500 0.2500

Entry 3:
Below is Hg2TeN2 after structural relaxation, with properties calculated at the PBE level.

Results
For the total energy, the calculation gives -38.50 eV per cell. The value obtained for the density of states at the Fermi level is 2.84 states/eV/cell. The space group is No. 139. The value obtained for the energy above the most stable polymorph in this dataset is 161 meV per atom. Its uncorrected formation energy is 0.23 eV per atom. The total magnetic moment is 0.0 μB per formula unit.

Lattice parameters (Å, degrees): 5.3912 5.3912 8.2624 90.00 90.00 90.00
Fractional coordinates of all 10 atoms:
Hg 0.0000 0.5000 0.2500
Hg 0.0000 0.5000 0.7500
Hg 0.5000 0.0000 0.2500
Hg 0.5000 0.0000 0.7500
Te 0.0000 0.0000 0.0000
Te 0.5000 0.5000 0.5000
N 0.0000 0.0000 0.4323
N 0.0000 0.0000 0.5677
N 0.5000 0.5000 0.0677
N 0.5000 0.5000 0.9323

Entry 4:
Below is La3Pr5Dy after structural relaxation, with properties calculated at the PBE level.

Results
For the total energy, the calculation gives -79.58 eV per cell. The value obtained for the density of states at the Fermi level is 26.98 states/eV/cell. The space group is No. 12. The total magnetic moment is 0.0 μB per formula unit.

Lattice parameters (Å, degrees): 8.0219 8.0219 12.2192 95.23 95.23 61.49
Fractional coordinates of all 18 atoms:
La 0.0000 0.0000 0.0000
La 0.0000 0.0000 0.5000
La 0.2655 0.2655 0.4884
La 0.3383 0.3383 0.7765
La 0.6617 0.6617 0.2235
La 0.7345 0.7345 0.5116
Pr 0.0863 0.6622 0.2408
Pr 0.2453 0.2453 0.0273
Pr 0.3289 0.6711 0.0000
Pr 0.3378 0.9137 0.7592
Pr 0.4985 0.4985 0.3729
Pr 0.5015 0.5015 0.6271
Pr 0.6622 0.0863 0.2408
Pr 0.6711 0.3289 0.0000
Pr 0.7547 0.7547 0.9727
Pr 0.9137 0.3378 0.7592
Dy 0.1096 0.1096 0.2558
Dy 0.8904 0.8904 0.7442

Entry 5:
Below is Y3Er2Tm8 after structural relaxation, with properties calculated at the PBE level.

Results
For the total energy, the calculation gives -61.02 eV per cell. The value obtained for the density of states at the Fermi level is 22.52 states/eV/cell. The space group is No. 12. The value obtained for the energy above the most stable polymorph in this dataset is 84 meV per atom. The total magnetic moment is 0.0 μB per formula unit.

Lattice parameters (Å, degrees): 10.7282 10.7282 5.5392 90.03 90.03 41.05
Fractional coordinates of all 13 atoms:
Y 0.0000 0.0000 0.0000
Y 0.2838 0.7162 0.5000
Y 0.7162 0.2838 0.5000
Er 0.2416 0.2416 0.9992
Er 0.7584 0.7584 0.0008
Tm 0.1344 0.1344 0.4998
Tm 0.1771 0.6025 0.9997
Tm 0.3322 0.3322 0.4993
Tm 0.3975 0.8229 0.0003
Tm 0.6025 0.1771 0.9997
Tm 0.6678 0.6678 0.5007
Tm 0.8229 0.3975 0.0003
Tm 0.8656 0.8656 0.5002

Entry 6:
Below is KCd2In4Pd after structural relaxation, with properties calculated at the PBE level.

Results
For the total energy, the calculation gives -20.10 eV per cell. The value obtained for the density of states at the Fermi level is 2.64 states/eV/cell. The space group is No. 166. The total magnetic moment is 0.0 μB per formula unit.

Lattice parameters (Å, degrees): 11.2199 11.2199 11.2199 25.02 25.02 25.02
Fractional coordinates of all 8 atoms:
K 0.0000 0.0000 0.0000
Cd 0.2610 0.2610 0.2610
Cd 0.7390 0.7390 0.7390
In 0.1389 0.1389 0.1389
In 0.4151 0.4151 0.4151
In 0.5849 0.5849 0.5849
In 0.8611 0.8611 0.8611
Pd 0.5000 0.5000 0.5000